A geometry-optimized Rb3La3InO8 structure. Source: Alexandria, functional PBE-GGA.

Its uncorrected formation energy is -2.280 eV/atom. For the volume, the calculation gives 306.5 Å³/f.u. For the total energy, the calculation gives -6.286 eV/atom. The value obtained for the density of states at the Fermi level is 54.725 states/eV per cell.

Cell lengths 7.3081, 7.3081, 19.8791 Å; angles 90.00, 90.00, 120.00 degrees
Space group R-3m (No. 166, hexagonal axes)
Inequivalent atoms, fractional coordinates:
Rb 0.0000 0.5000 0.0000 x9
La 0.0000 0.5000 0.5000 x9
In 0.0000 0.0000 0.5000 x3
O 0.0000 0.0000 0.2257 x6
O 0.0214 0.5107 0.2239 x18